Version i
Below is RbGdPb2 after structural relaxation, with properties calculated at the PBE-GGA level.

Lattice parameters (Å, degrees): 3.8000 3.8000 33.6499 90.00 90.00 120.00
Space group R-3m (No. 166, hexagonal axes)
Asymmetric unit:
Rb 0.0000 0.0000 0.0000 x3
Gd 0.0000 0.0000 0.5000 x3
Pb 0.0000 0.0000 0.2421 x6

Version ii
Below is RbGdPb2 after structural relaxation, with properties calculated at the PBE-GGA level.

Lattice parameters (Å, degrees): 4.169 4.169 8.353 90.00 90.00 90.00
Space group P4/mmm (No. 123)
Asymmetric unit:
Rb 0.000 0.000 0.000 x1
Gd 0.000 0.000 0.500 x1
Pb 0.500 0.500 0.311 x2

Least stable structure: version i